# Cs2CrCdH6, relaxed, DFT PBE-GGA
# * spin magnetization: 3.81 μB per formula unit
# * calculated volume: 16.2 A^3/atom
# * VASP energy: -3.22 eV/atom
# * mass density: 4.465 g/cm3
data_Cs2CrCdH6
_cell_length_a 5.748
_cell_length_b 5.748
_cell_length_c 9.821
_cell_angle_alpha 90.00
_cell_angle_beta 90.00
_cell_angle_gamma 90.00
_space_group_name_H-M_alt 'I 4/m m m'
_space_group_IT_number 139
_space_group_name_Hall '-I 4 2'
loop_
_atom_site_label
_atom_site_type_symbol
_atom_site_fract_x
_atom_site_fract_y
_atom_site_fract_z
Cs1 Cs 0.000 0.500 0.250
Cr1 Cr 0.000 0.000 0.000
Cd1 Cd 0.000 0.000 0.500
H1 H 0.000 0.000 0.180
H2 H 0.228 0.228 0.000